DFT (GGA-PBE) results for a relaxed ZrNi2H8 crystal.

The raw total energy is -4.347 eV/atom.

Structure (POSCAR):
```
ZrNi2H8
1.0
-3.269 0.861 0.220
1.022 -3.648 3.358
2.749 3.001 3.010
Zr Ni H
1 2 8
direct
0.500 0.000 0.000 Zr
0.000 0.314 0.686 Ni
0.000 0.686 0.314 Ni
0.846 0.984 0.707 H
0.846 0.707 0.984 H
0.164 0.663 0.663 H
0.500 0.693 0.307 H
0.500 0.307 0.693 H
0.836 0.337 0.337 H
0.154 0.293 0.016 H
0.154 0.016 0.293 H
```